(a)
Density functional theory data (PBE) for crystalline Ba2SrTlPd at its relaxed geometry.

Geometry as extended XYZ:
```
5
Lattice="6.226 0.000 0.000 0.000 6.226 0.000 0.000 0.000 5.482" Properties=species:S:1:pos:R:3 pbc="T T T"
Ba 0.000 3.113 0.000
Ba 3.113 0.000 0.000
Sr 0.000 0.000 2.741
Tl 3.113 3.113 2.741
Pd 3.113 3.113 0.000
```

=====

(b)
Density functional theory data (PBE) for crystalline Ba2SrTlPd at its relaxed geometry.

Geometry as extended XYZ:
```
5
Lattice="6.167 0.000 0.000 0.000 6.167 0.000 0.000 0.000 5.918" Properties=species:S:1:pos:R:3 pbc="T T T"
Ba 0.000 3.084 0.000
Ba 3.084 0.000 0.000
Sr 0.000 0.000 2.959
Tl 3.084 3.084 2.959
Pd 0.000 0.000 0.000
```

=====

Relative energy table, unit eV/atom: (a) 0.059; (b) 0.000

=====

(a)
Density functional theory data (PBE) for crystalline Ba2TaPd at its relaxed geometry.

Geometry as extended XYZ:
```
16
Lattice="8.089 0.000 0.000 0.000 8.089 0.000 0.000 0.000 8.089" Properties=species:S:1:pos:R:3 pbc="T T T"
Ba 2.022 2.022 2.022
Ba 2.022 2.022 6.067
Ba 2.022 6.067 2.022
Ba 2.022 6.067 6.067
Ba 6.067 2.022 2.022
Ba 6.067 2.022 6.067
Ba 6.067 6.067 2.022
Ba 6.067 6.067 6.067
Ta 0.000 0.000 0.000
Ta 0.000 4.045 4.045
Ta 4.045 0.000 4.045
Ta 4.045 4.045 0.000
Pd 0.000 0.000 4.045
Pd 0.000 4.045 0.000
Pd 4.045 0.000 0.000
Pd 4.045 4.045 4.045
```

=====

(b)
Density functional theory data (PBE) for crystalline Ba2TaPd at its relaxed geometry.

Geometry as extended XYZ:
```
16
Lattice="8.971 0.000 0.000 0.000 8.971 0.000 0.000 0.000 6.485" Properties=species:S:1:pos:R:3 pbc="T T T"
Ba 1.877 2.243 0.811
Ba 2.243 6.363 2.432
Ba 2.243 7.093 5.675
Ba 2.608 2.243 4.053
Ba 6.363 6.728 4.053
Ba 6.728 1.877 5.675
Ba 6.728 2.608 2.432
Ba 7.093 6.728 0.811
Ta 0.000 0.000 3.243
Ta 0.000 4.485 4.864
Ta 4.485 0.000 1.621
Ta 4.485 4.485 0.000
Pd 0.000 0.000 0.000
Pd 0.000 4.485 1.621
Pd 4.485 0.000 4.864
Pd 4.485 4.485 3.243
```

=====

Relative energy table, unit eV/atom: (a) 0.000; (b) 0.104

=====

(a)
Density functional theory data (PBE) for crystalline BaTaPd2 at its relaxed geometry.

Geometry as extended XYZ:
```
16
Lattice="7.748 0.000 0.000 0.000 7.748 0.000 0.000 0.000 7.060" Properties=species:S:1:pos:R:3 pbc="T T T"
Ba 0.000 0.000 0.000
Ba 0.000 3.874 1.765
Ba 3.874 0.000 5.295
Ba 3.874 3.874 3.530
Ta 0.000 0.000 3.530
Ta 0.000 3.874 5.295
Ta 3.874 0.000 1.765
Ta 3.874 3.874 0.000
Pd 1.348 5.811 4.413
Pd 1.937 1.348 2.648
Pd 1.937 2.526 6.178
Pd 2.526 5.811 0.883
Pd 5.222 1.937 0.883
Pd 5.811 5.222 6.178
Pd 5.811 6.400 2.648
Pd 6.400 1.937 4.413
```

=====

(b)
Density functional theory data (PBE) for crystalline BaTaPd2 at its relaxed geometry.

Geometry as extended XYZ:
```
16
Lattice="7.061 0.000 0.000 0.000 7.061 0.000 0.000 0.000 7.061" Properties=species:S:1:pos:R:3 pbc="T T T"
Ba 0.000 0.000 0.000
Ba 0.000 3.531 3.531
Ba 3.531 0.000 3.531
Ba 3.531 3.531 0.000
Ta 0.000 0.000 3.531
Ta 0.000 3.531 0.000
Ta 3.531 0.000 0.000
Ta 3.531 3.531 3.531
Pd 1.765 1.765 1.765
Pd 1.765 1.765 5.296
Pd 1.765 5.296 1.765
Pd 1.765 5.296 5.296
Pd 5.296 1.765 1.765
Pd 5.296 1.765 5.296
Pd 5.296 5.296 1.765
Pd 5.296 5.296 5.296
```

=====

Relative energy table, unit eV/atom: (a) 0.000; (b) 0.158